Entry 1:
Compound: Er6Pd2Rh
Source: Alexandria via LeMat-Bulk
Functional: PBE
Structure: relaxed

For the total moment, the calculation gives 0.00 μB per formula unit. Its density of states at the Fermi level is 14.5 states/eV per cell. For the calculated density, the calculation gives 9.41 g/cm³. The total energy comes out at -5.622 eV per atom. The space-group type is P2_1/c, No. 14. Its formation energy is -0.6095 eV/atom. The calculation puts the volume at 25.87 A^3/atom.

```
Er6Pd2Rh
1.0
-4.771 -3.644 -2.375
0.321 -4.270 5.906
-6.548 5.831 4.572
Er Rh Pd
12 2 4
direct
0.652 0.460 0.254
0.848 0.960 0.246
0.152 0.040 0.754
0.672 0.174 0.933
0.843 0.684 0.932
0.328 0.826 0.067
0.828 0.674 0.567
0.657 0.184 0.568
0.343 0.816 0.432
0.172 0.326 0.433
0.157 0.316 0.068
0.348 0.540 0.746
0.500 0.500 0.000
0.000 0.000 0.500
0.941 0.384 0.757
0.559 0.884 0.743
0.441 0.116 0.257
0.059 0.616 0.243
```

=====

Entry 2:
Compound: Er5PdRh2
Source: Alexandria via LeMat-Bulk
Functional: PBE
Structure: relaxed

For the total moment, the calculation gives 0.00 μB per formula unit. Its density of states at the Fermi level is 14.9 states/eV per cell. For the calculated density, the calculation gives 10.19 g/cm³. The total energy comes out at -6.091 eV per atom. The space-group type is I4/mcm, No. 140. Its formation energy is -0.7521 eV/atom. The calculation puts the volume at 23.40 A^3/atom.

```
Er5PdRh2
1.0
6.769 0.000 -3.195
-1.508 6.599 -3.195
-0.116 -0.146 8.521
Er Rh Pd
10 4 2
direct
0.500 0.500 0.000
0.976 0.476 0.280
0.304 0.804 0.280
0.696 0.196 0.720
0.024 0.524 0.720
0.476 0.304 0.280
0.000 0.000 0.000
0.196 0.024 0.720
0.804 0.976 0.280
0.524 0.696 0.720
0.862 0.638 0.000
0.362 0.862 0.000
0.138 0.362 0.000
0.638 0.138 0.000
0.250 0.250 0.500
0.750 0.750 0.500
```

=====

Entry 3:
Compound: Er2PdRh
Source: Alexandria via LeMat-Bulk
Functional: PBE
Structure: relaxed

For the total moment, the calculation gives 0.00 μB per formula unit. Its density of states at the Fermi level is 1.6 states/eV per cell. For the calculated density, the calculation gives 11.14 g/cm³. The total energy comes out at -6.348 eV per atom. The space-group type is Fm-3m, No. 225. Its formation energy is -0.9308 eV/atom. The calculation puts the volume at 20.27 A^3/atom.

```
Er2PdRh
1.0
-1.942 0.896 4.363
-3.475 -2.905 1.756
0.960 -2.949 3.739
Er Rh Pd
2 1 1
direct
0.000 0.000 0.000
0.500 0.500 0.500
0.750 0.750 0.750
0.250 0.250 0.250
```

=====

Entry 4:
Compound: ErScPdRh
Source: Alexandria via LeMat-Bulk
Functional: PBE
Structure: relaxed

For the total moment, the calculation gives 0.00 μB per formula unit. Its density of states at the Fermi level is 1.6 states/eV per cell. For the calculated density, the calculation gives 9.26 g/cm³. The total energy comes out at -6.782 eV per atom. The space-group type is F-43m, No. 216. Its formation energy is -0.9219 eV/atom. The calculation puts the volume at 18.90 A^3/atom.

```
ErScPdRh
1.0
-3.146 1.444 -3.248
-2.575 -3.190 -2.392
-4.651 -0.415 0.852
Sc Rh Er Pd
1 1 1 1
direct
0.000 0.000 0.000
0.250 0.250 0.250
0.500 0.500 0.500
0.750 0.750 0.750
```

=====

Entry 5:
Compound: ErSi2PdRh
Source: Alexandria via LeMat-Bulk
Functional: PBE
Structure: relaxed

The value obtained for the raw formation energy is -0.992 eV/atom. For the total moment, the calculation gives 0.00 μB per formula unit. Its density of states at the Fermi level is 2.6 states/eV per cell. For the calculated density, the calculation gives 8.68 g/cm³. The total energy comes out at -6.582 eV per atom. The space-group type is I-4m2, No. 119. The calculation puts the volume at 16.56 A^3/atom.

```
ErSi2PdRh
1.0
4.058 0.000 0.000
0.000 4.058 0.000
-2.029 -2.029 5.027
Rh Si Pd Er
1 2 1 1
direct
0.250 0.750 0.500
0.616 0.616 0.231
0.384 0.384 0.769
0.750 0.250 0.500
0.000 0.000 0.000
```

=====

Entry 6:
Compound: SmErPdRh
Source: Alexandria via LeMat-Bulk
Functional: PBE
Structure: relaxed

For the total moment, the calculation gives 0.00 μB per formula unit. Its density of states at the Fermi level is 2.5 states/eV per cell. For the calculated density, the calculation gives 9.90 g/cm³. The total energy comes out at -6.305 eV per atom. The space-group type is Amm2, No. 38. Its formation energy is -0.8482 eV/atom. The calculation puts the volume at 22.09 A^3/atom.

```
SmErPdRh
1.0
3.727 0.000 0.000
0.000 4.471 0.000
-1.863 0.000 5.302
Sm Pd Rh Er
1 1 1 1
direct
0.143 0.000 0.285
0.584 0.500 0.168
0.409 0.000 0.819
0.864 0.500 0.729
```

=====

Question: Which value of total energy does entry 4 give?
Answer: -6.782 eV per atom

=====

Question: Among the records above, which one has the lowest total energy?
Answer: ErScPdRh

=====

What did the third record say?
Compound: Er2PdRh
Source: Alexandria via LeMat-Bulk
Functional: PBE
Structure: relaxed

For the total moment, the calculation gives 0.00 μB per formula unit. Its density of states at the Fermi level is 1.6 states/eV per cell. For the calculated density, the calculation gives 11.14 g/cm³. The total energy comes out at -6.348 eV per atom. The space-group type is Fm-3m, No. 225. Its formation energy is -0.9308 eV/atom. The calculation puts the volume at 20.27 A^3/atom.

```
Er2PdRh
1.0
-1.942 0.896 4.363
-3.475 -2.905 1.756
0.960 -2.949 3.739
Er Rh Pd
2 1 1
direct
0.000 0.000 0.000
0.500 0.500 0.500
0.750 0.750 0.750
0.250 0.250 0.250
```